1.
Material: YLuGeRh
Method: DFT, PBE
State: relaxed

The structure in POSCAR format:
```
YLuGeRh
1.0
-0.595 -0.151 -4.866
2.459 -3.298 -2.670
-2.386 -3.755 -2.063
Ge Lu Rh Y
1 1 1 1
Cartesian
-0.130 -1.801 -2.400
0.000 0.000 0.000
-0.391 -5.404 -7.199
-0.261 -3.603 -4.799
```

Results
* final energy: -6.4935 eV per atom
* mass density: 8.7 g/cm3
* total magnetization: 0.0 μB per formula unit
* E_form: -17.411 kcal/mol of atoms

2.
Material: NdAlTe
Method: DFT, PBE
State: relaxed

The structure in POSCAR format:
```
NdAlTe
1.0
-2.221 1.735 3.534
-4.340 -0.250 0.285
1.112 -9.865 8.432
Te Nd Al
2 2 2
Cartesian
-3.520 -7.299 10.043
-1.930 -1.080 2.208
-1.880 -1.304 5.240
-3.570 -7.076 7.011
-3.894 -4.148 5.370
-1.555 -4.231 6.881
```

Results
* final energy: -4.4584 eV per atom
* mass density: 4.6 g/cm3
* uncorrected formation energy: -574 meV per atom
* total magnetization: 0.0 μB per formula unit

3.
Material: La4PrNd
Method: DFT, PBE
State: relaxed

The structure in POSCAR format:
```
La4PrNd
1.0
-3.380 -1.520 0.220
0.296 -1.392 -5.077
4.279 -8.354 8.016
Pr Nd La
1 1 4
Cartesian
0.449 -4.937 4.118
0.000 0.000 0.000
1.515 -3.228 0.970
1.970 -8.176 5.096
3.060 -6.519 1.970
-0.775 -3.091 -1.936
```

Results
* final energy: -4.8609 eV per atom
* mass density: 6.4 g/cm3
* total magnetization: 0.0 μB per formula unit
* E_form: 0.351 kcal/mol of atoms